This record from the Alexandria database describes crystalline Cr2CoBiCl at its relaxed geometry. The functional is PBE. Values from VASP.

```
&SYSTEM
  ibrav = 0, nat = 5, ntyp = 4
/
ATOMIC_SPECIES
Cr 52.00 Cr.upf
Co 58.93 Co.upf
Bi 208.98 Bi.upf
Cl 35.45 Cl.upf
CELL_PARAMETERS angstrom
4.992 0.000 0.000
0.000 4.067 0.000
0.000 0.000 4.992
ATOMIC_POSITIONS crystal
Cr 0.000 0.000 0.500
Cr 0.500 0.000 0.000
Co 0.000 0.000 0.000
Bi 0.500 0.500 0.500
Cl 0.000 0.500 0.000
```

Values from the calculation:
The uncorrected formation energy is 3.62 eV/f.u. Its crystal system is tetragonal. Its symmetry is P4/mmm, No. 123. For the density of states at the Fermi level, the calculation gives 5.8 states/eV/cell. For the size of the total moment, the calculation gives 7.0 μB per cell.